First-principles (PBE-GGA) data for a geometry-optimized TbHo4Hg5 structure, as listed in OQMD.

Geometry as POSCAR:
```
TbHo4Hg5
1.0
3.6967 0.0000 0.0000
0.0000 3.6967 0.0000
0.0000 0.0000 18.5369
Tb Ho Hg
1 4 5
Direct
0.0000 0.0000 0.0000 Tb
0.0000 0.0000 0.2011 Ho
0.0000 0.0000 0.4004 Ho
0.0000 0.0000 0.5996 Ho
0.0000 0.0000 0.7989 Ho
0.5000 0.5000 0.1021 Hg
0.5000 0.5000 0.3006 Hg
0.5000 0.5000 0.5000 Hg
0.5000 0.5000 0.6994 Hg
0.5000 0.5000 0.8979 Hg
```

## Properties
* volume: 25.3 Å³ per atom
* ΔE_f: -483 meV per atom
* total magnetization: 0.04 μB per formula unit